PBE Ge2Te5Pd12, optimized geometry; raw total energy = -4.85 eV/atom; total moment = 0.00 μB/f.u.; space group = C2/m; Fermi-level density of states = 9.45 states/eV/cell
1.0
-6.0918 -3.6181 -1.2937
3.0375 -0.4877 7.1096
-4.2583 7.1294 0.1131
Pd Te Ge
12 5 2
Cartesian
0.0433 2.6147 4.6720
-6.2493 1.6723 4.7007
-0.6568 -1.1211 6.2279
-6.6559 4.1447 -0.2989
-7.3560 0.4089 1.2570
-5.0448 4.2681 4.0050
-4.6420 -2.6545 1.4198
-3.6525 2.6085 2.0435
-2.2679 -1.2445 1.9240
-2.6707 5.6781 4.5092
-1.0635 1.3513 1.2283
-3.6602 0.4151 3.8855
-4.6865 0.2281 1.3811
-6.5246 3.0635 2.1067
-2.6262 2.7955 4.5479
-0.7881 -0.0399 3.8223
-2.1292 3.5647 0.0566
-1.1791 -0.7003 -0.2504
-4.9128 -2.9178 -1.0433